Entry 1:
A geometry-optimized Tb4GaSe3 structure. Source: OQMD, functional PBE.

The space group is Pm-3m (No. 221) and the conventional cell measures 5.825, 5.825 and 5.825 Å, with angles of 90.00, 90.00 and 90.00 degrees. Symmetry generates all atoms from Tb at (0.000, 0.000, 0.000), Tb at (0.000, 0.500, 0.500), Ga at (0.500, 0.500, 0.500) and Se at (0.000, 0.000, 0.500).

For the calculated total energy, the calculation gives -5.54 eV/atom. Its spin magnetization is 0.01 Bohr magnetons per cell. The crystal system is cubic.

***

Entry 2:
A geometry-optimized Ac2SmTh2 structure. Source: OQMD, functional PBE.

The space group is P6_3/mmc (No. 194) and the conventional cell measures 5.8913, 5.8913 and 13.0965 Å, with angles of 90.00, 90.00 and 120.00 degrees. Symmetry generates all atoms from Ac at (0.0000, 0.0000, 0.0000), Ac at (0.3333, 0.6667, 0.2500), Sm at (0.0000, 0.0000, 0.2500) and Th at (0.3333, 0.6667, 0.6281).

Its formation energy is 0.3907 eV per atom. Its spin magnetization is 0.00 Bohr magnetons per cell. The crystal system is hexagonal.

***

Entry 3:
A geometry-optimized HoZnSiH2O5 structure. Source: OQMD, functional PBE.

The space group is Cc (No. 9) and the conventional cell measures 5.067, 16.420 and 5.439 Å, with angles of 90.00, 103.52 and 90.00 degrees. Symmetry generates all atoms from Ho at (0.000, 0.076, 0.000), Zn at (0.147, 0.252, 0.334), Si at (0.168, 0.377, 0.870), H at (0.285, 0.082, 0.564), H at (0.465, 0.017, 0.748), O at (0.266, 0.469, 0.796), O at (0.276, 0.042, 0.705), O at (0.287, 0.320, 0.669), O at (0.302, 0.357, 0.164) and O at (0.336, 0.124, 0.311).

For the calculated total energy, the calculation gives -6.32 eV/atom. Its spin magnetization is 0.02 Bohr magnetons per cell. The crystal system is monoclinic.